Entry i
Here is a geometry-optimized AcPm3In3 structure from Alexandria. Energies are from PBE.

**DOS at the Fermi energy**: 1.200 states/eV/atom

abc: 8.2876 8.2876 8.2876
angles: 66.90 66.90 66.90
Last column: nearest neighbours and their distance in Å.
Element x y z (fractional)
Ac (0.1217, 0.1217, 0.1217)  6 In 3.42-3.78, 6 Pm 3.63-3.82
Ac (0.8783, 0.8783, 0.8783)  6 In 3.42-3.78, 6 Pm 3.63-3.82
Pm (0.0713, 0.5417, 0.2441)  4 In 3.25-3.49, 1 Ac 3.63
Pm (0.2441, 0.0713, 0.5417)  4 In 3.25-3.49, 1 Ac 3.63
Pm (0.4583, 0.7559, 0.9287)  4 In 3.25-3.49, 1 Ac 3.63
Pm (0.5417, 0.2441, 0.0713)  4 In 3.25-3.49, 1 Ac 3.63
Pm (0.7559, 0.9287, 0.4583)  4 In 3.25-3.49, 1 Ac 3.63
Pm (0.9287, 0.4583, 0.7559)  4 In 3.25-3.49, 1 Ac 3.63
In (0.1859, 0.7187, 0.4599)  2 In 2.99, 3 Pm 3.25-3.30
In (0.2813, 0.5401, 0.8141)  2 In 2.99, 3 Pm 3.25-3.30
In (0.4599, 0.1859, 0.7187)  2 In 2.99, 3 Pm 3.25-3.30
In (0.5401, 0.8141, 0.2813)  2 In 2.99, 3 Pm 3.25-3.30
In (0.7187, 0.4599, 0.1859)  2 In 2.99, 3 Pm 3.25-3.30
In (0.8141, 0.2813, 0.5401)  2 In 2.99, 3 Pm 3.25-3.30



Entry ii
Here is a geometry-optimized AcPm3In3 structure from Alexandria. Energies are from PBE.

**DOS at the Fermi energy**: 1.137 states/eV/atom

abc: 9.6414 9.6414 9.6414
angles: 90.00 90.00 90.00
Last column: nearest neighbours and their distance in Å.
Element x y z (fractional)
Ac (0.0412, 0.4588, 0.5412)  4 Pm 3.48-3.68, 6 In 3.49-3.83
Ac (0.4588, 0.5412, 0.0412)  4 Pm 3.48-3.68, 6 In 3.49-3.83
Ac (0.5412, 0.0412, 0.4588)  4 Pm 3.48-3.68, 6 In 3.49-3.83
Ac (0.9588, 0.9588, 0.9588)  4 Pm 3.48-3.68, 6 In 3.49-3.83
Pm (0.1267, 0.6267, 0.8733)  6 In 3.28-3.47, 1 Pm 3.44
Pm (0.1675, 0.1675, 0.1675)  6 In 3.23-3.33, 1 Pm 3.44, 1 Ac 3.48
Pm (0.2075, 0.7925, 0.2925)  6 In 3.27-3.48
Pm (0.2925, 0.2075, 0.7925)  6 In 3.27-3.48
Pm (0.3325, 0.8325, 0.6675)  6 In 3.23-3.33, 1 Pm 3.44, 1 Ac 3.48
Pm (0.3733, 0.3733, 0.3733)  6 In 3.28-3.47, 1 Pm 3.44
Pm (0.6267, 0.8733, 0.1267)  6 In 3.28-3.47, 1 Pm 3.44
Pm (0.6675, 0.3325, 0.8325)  6 In 3.23-3.33, 1 Pm 3.44, 1 Ac 3.48
Pm (0.7075, 0.7075, 0.7075)  6 In 3.27-3.48
Pm (0.7925, 0.2925, 0.2075)  6 In 3.27-3.48
Pm (0.8325, 0.6675, 0.3325)  6 In 3.23-3.33, 1 Pm 3.44, 1 Ac 3.48
Pm (0.8733, 0.1267, 0.6267)  6 In 3.28-3.47, 1 Pm 3.44
In (0.0068, 0.8158, 0.5917)  6 Pm 3.23-3.48, 2 In 3.30, 1 Ac 3.49
In (0.0917, 0.4932, 0.1842)  6 Pm 3.23-3.48, 2 In 3.30, 1 Ac 3.49
In (0.1842, 0.0917, 0.4932)  6 Pm 3.23-3.48, 2 In 3.30, 1 Ac 3.49
In (0.3158, 0.9083, 0.9932)  6 Pm 3.23-3.48, 2 In 3.30, 1 Ac 3.49
In (0.4083, 0.5068, 0.6842)  6 Pm 3.23-3.48, 2 In 3.30, 1 Ac 3.49
In (0.4932, 0.1842, 0.0917)  6 Pm 3.23-3.48, 2 In 3.30, 1 Ac 3.49
In (0.5068, 0.6842, 0.4083)  6 Pm 3.23-3.48, 2 In 3.30, 1 Ac 3.49
In (0.5917, 0.0068, 0.8158)  6 Pm 3.23-3.48, 2 In 3.30, 1 Ac 3.49
In (0.6842, 0.4083, 0.5068)  6 Pm 3.23-3.48, 2 In 3.30, 1 Ac 3.49
In (0.8158, 0.5917, 0.0068)  6 Pm 3.23-3.48, 2 In 3.30, 1 Ac 3.49
In (0.9083, 0.9932, 0.3158)  6 Pm 3.23-3.48, 2 In 3.30, 1 Ac 3.49
In (0.9932, 0.3158, 0.9083)  6 Pm 3.23-3.48, 2 In 3.30, 1 Ac 3.49



We find entry ii to be the most stable, with the next structure 137 meV per atom higher.



Entry i
Here is a geometry-optimized AcPm2In structure from Alexandria. Energies are from PBE.

**DOS at the Fermi energy**: 1.529 states/eV/atom

abc: 12.4206 12.4206 12.4206
angles: 17.09 17.09 17.09
Last column: nearest neighbours and their distance in Å.
Element x y z (fractional)
Ac (0.0000, 0.0000, 0.0000)  2 Pm 3.65, 6 Ac 3.69
Pm (0.0994, 0.0994, 0.0994)  3 In 3.26, 1 Ac 3.65
Pm (0.9006, 0.9006, 0.9006)  3 In 3.26, 1 Ac 3.65
In (0.5000, 0.5000, 0.5000)  6 Pm 3.26



Entry ii
Here is a geometry-optimized AcPm2In structure from Alexandria. Energies are from PBE.

**DOS at the Fermi energy**: 1.925 states/eV/atom

abc: 5.6946 5.6946 5.6946
angles: 60.00 60.00 60.00
Last column: nearest neighbours and their distance in Å.
Element x y z (fractional)
Ac (0.0000, 0.0000, 0.0000)  8 Pm 3.49
Pm (0.2500, 0.2500, 0.2500)  4 Ac 3.49, 4 In 3.49
Pm (0.7500, 0.7500, 0.7500)  4 Ac 3.49, 4 In 3.49
In (0.5000, 0.5000, 0.5000)  8 Pm 3.49



Entry iii
Here is a geometry-optimized AcPm2In structure from Alexandria. Energies are from PBE.

**DOS at the Fermi energy**: 1.019 states/eV/atom

abc: 3.7810 3.7810 9.3867
angles: 90.00 90.00 90.00
Last column: nearest neighbours and their distance in Å.
Element x y z (fractional)
Ac (0.0000, 0.0000, 0.0000)  8 Pm 3.77, 4 Ac 3.78
Pm (0.5000, 0.5000, 0.2839)  4 In 3.36
Pm (0.5000, 0.5000, 0.7161)  4 In 3.36
In (0.0000, 0.0000, 0.5000)  8 Pm 3.36



Entry iv
Here is a geometry-optimized AcPm2In structure from Alexandria. Energies are from PBE.

**DOS at the Fermi energy**: 1.758 states/eV/atom

abc: 5.1036 5.1036 5.0543
angles: 90.00 90.00 90.00
Last column: nearest neighbours and their distance in Å.
Element x y z (fractional)
Ac (0.0000, 0.0000, 0.0000)  8 Pm 3.59, 4 In 3.61
Pm (0.0000, 0.5000, 0.5000)  4 Ac 3.59, 4 In 3.59, 4 Pm 3.61
Pm (0.5000, 0.0000, 0.5000)  4 Ac 3.59, 4 In 3.59, 4 Pm 3.61
In (0.5000, 0.5000, 0.0000)  8 Pm 3.59, 4 Ac 3.61



We find entry iii to be the most stable, with the next structure 10 meV per atom higher.



Entry i
Here is a geometry-optimized AcPm2In structure from Alexandria. Energies are from PBE.

**DOS at the Fermi energy**: 0.773 states/eV/atom

abc: 13.6842 5.6466 7.1623
angles: 90.00 90.00 90.00
Last column: nearest neighbours and their distance in Å.
Element x y z (fractional)
Ac (0.1231, 0.2500, 0.0957)  4 In 3.43-3.81, 5 Pm 3.61-3.72
Ac (0.3769, 0.7500, 0.5957)  4 In 3.43-3.81, 5 Pm 3.61-3.72
Ac (0.6231, 0.2500, 0.4043)  4 In 3.43-3.81, 5 Pm 3.61-3.72
Ac (0.8769, 0.7500, 0.9043)  4 In 3.43-3.81, 5 Pm 3.61-3.72
Pm (0.0569, 0.7500, 0.3845)  1 In 3.19, 1 Pm 3.51
Pm (0.1997, 0.2500, 0.6123)  3 In 3.25-3.34, 1 Pm 3.51, 1 Ac 3.62
Pm (0.3003, 0.7500, 0.1123)  3 In 3.25-3.34, 1 Pm 3.51, 1 Ac 3.62
Pm (0.4431, 0.2500, 0.8845)  1 In 3.19, 1 Pm 3.51
Pm (0.5569, 0.7500, 0.1155)  1 In 3.19, 1 Pm 3.51
Pm (0.6997, 0.2500, 0.8877)  3 In 3.25-3.34, 1 Pm 3.51, 1 Ac 3.62
Pm (0.8003, 0.7500, 0.3877)  3 In 3.25-3.34, 1 Pm 3.51, 1 Ac 3.62
Pm (0.9431, 0.2500, 0.6155)  1 In 3.19, 1 Pm 3.51
In (0.1226, 0.7500, 0.8118)  4 Pm 3.19-3.34, 3 Ac 3.43-3.48
In (0.3774, 0.2500, 0.3118)  4 Pm 3.19-3.34, 3 Ac 3.43-3.48
In (0.6226, 0.7500, 0.6882)  4 Pm 3.19-3.34, 3 Ac 3.43-3.48
In (0.8774, 0.2500, 0.1882)  4 Pm 3.19-3.34, 3 Ac 3.43-3.48



Entry ii
Here is a geometry-optimized AcPm2In structure from Alexandria. Energies are from PBE.

**DOS at the Fermi energy**: 1.409 states/eV/atom

abc: 6.6359 6.6359 6.6359
angles: 47.88 47.88 47.88
Last column: nearest neighbours and their distance in Å.
Element x y z (fractional)
Ac (0.0000, 0.0000, 0.0000)  4 In 3.56-3.87, 7 Pm 3.71-3.81
Pm (0.5513, 0.5513, 0.5513)  3 In 3.12
Pm (0.7836, 0.7836, 0.7836)  3 In 3.46, 3 Pm 3.58, 4 Ac 3.73-3.81
In (0.2026, 0.2026, 0.2026)  6 Pm 3.12-3.46



We find entry i to be the most stable, with the next structure 177 meV per atom higher.



Entry i
Here is a geometry-optimized AcPm3In structure from Alexandria. Energies are from PBE.

**DOS at the Fermi energy**: 1.500 states/eV/atom

abc: 13.3758 13.3758 4.9777
angles: 90.00 90.00 157.84
Last column: nearest neighbours and their distance in Å.
Element x y z (fractional)
Ac (0.1488, 0.8512, 0.7500)  4 In 3.58, 8 Pm 3.62-3.67
Ac (0.8512, 0.1488, 0.2500)  4 In 3.58, 8 Pm 3.62-3.67
Pm (0.0464, 0.9536, 0.2500)  8 Pm 3.48-3.64, 2 Ac 3.66, 2 In 3.83
Pm (0.2517, 0.7483, 0.2500)  4 In 3.50-3.62, 4 Pm 3.58, 4 Ac 3.67
Pm (0.4481, 0.5519, 0.2500)  8 Pm 3.58-3.69, 2 Ac 3.62, 2 In 3.67
Pm (0.5519, 0.4481, 0.7500)  8 Pm 3.58-3.69, 2 Ac 3.62, 2 In 3.67
Pm (0.7483, 0.2517, 0.7500)  4 In 3.50-3.62, 4 Pm 3.58, 4 Ac 3.67
Pm (0.9536, 0.0464, 0.7500)  8 Pm 3.48-3.64, 2 Ac 3.66, 2 In 3.83
In (0.3452, 0.6548, 0.7500)  8 Pm 3.50-3.83, 4 Ac 3.58
In (0.6548, 0.3452, 0.2500)  8 Pm 3.50-3.83, 4 Ac 3.58



Entry ii
Here is a geometry-optimized AcPm3In structure from Alexandria. Energies are from PBE.

**DOS at the Fermi energy**: 1.465 states/eV/atom

abc: 8.2104 8.2104 6.3362
angles: 90.00 90.00 120.00
Last column: nearest neighbours and their distance in Å.
Element x y z (fractional)
Ac (0.3333, 0.6667, 0.2500)  12 Pm 3.76-4.12
Ac (0.6667, 0.3333, 0.7500)  12 Pm 3.76-4.12
Pm (0.1904, 0.3808, 0.7500)  2 In 3.14
Pm (0.1904, 0.8096, 0.7500)  2 In 3.14
Pm (0.3808, 0.1904, 0.2500)  2 In 3.14
Pm (0.6192, 0.8096, 0.7500)  2 In 3.14
Pm (0.8096, 0.1904, 0.2500)  2 In 3.14
Pm (0.8096, 0.6192, 0.2500)  2 In 3.14
In (0.0000, 0.0000, 0.0000)  6 Pm 3.14, 2 In 3.17
In (0.0000, 0.0000, 0.5000)  6 Pm 3.14, 2 In 3.17



We find entry i to be the most stable, with the next structure 173 meV per atom higher.



Entry i
Here is a geometry-optimized AcPmIn2 structure from Alexandria. Energies are from PBE.

**DOS at the Fermi energy**: 0.539 states/eV/atom

abc: 5.6372 5.6372 5.6372
angles: 60.00 60.00 60.00
Last column: nearest neighbours and their distance in Å.
Element x y z (fractional)
Ac (0.0000, 0.0000, 0.0000)  8 In 3.45
Pm (0.5000, 0.5000, 0.5000)  8 In 3.45
In (0.2500, 0.2500, 0.2500)  4 Pm 3.45, 4 Ac 3.45
In (0.7500, 0.7500, 0.7500)  4 Pm 3.45, 4 Ac 3.45



Entry ii
Here is a geometry-optimized AcPmIn2 structure from Alexandria. Energies are from PBE.

**DOS at the Fermi energy**: 0.624 states/eV/atom

abc: 10.3104 10.3104 10.3104
angles: 22.14 22.14 22.14
Last column: nearest neighbours and their distance in Å.
Element x y z (fractional)
Ac (0.0000, 0.0000, 0.0000)  6 In 3.50
Pm (0.5000, 0.5000, 0.5000)  6 In 3.30
In (0.2454, 0.2454, 0.2454)  3 Pm 3.30, 3 Ac 3.50
In (0.7546, 0.7546, 0.7546)  3 Pm 3.30, 3 Ac 3.50



We find entry i to be the most stable, with the next structure 163 meV per atom higher.



Entry i
Here is a geometry-optimized Ac2Pm3In4 structure from Alexandria. Energies are from PBE.

**DOS at the Fermi energy**: 0.908 states/eV/atom

abc: 9.4649 9.4649 9.3880
angles: 90.00 90.00 134.31
Last column: nearest neighbours and their distance in Å.
Element x y z (fractional)
Ac (0.1099, 0.8901, 0.9235)  8 In 3.59-3.90, 2 Pm 3.85
Ac (0.3901, 0.6099, 0.4235)  8 In 3.59-3.90, 2 Pm 3.85
Ac (0.6099, 0.3901, 0.5765)  8 In 3.59-3.90, 2 Pm 3.85
Ac (0.8901, 0.1099, 0.0765)  8 In 3.59-3.90, 2 Pm 3.85
Pm (0.0000, 0.0000, 0.5000)  6 In 3.06-3.20
Pm (0.0298, 0.4702, 0.7500)  5 In 3.14-3.33
Pm (0.4702, 0.0298, 0.2500)  5 In 3.14-3.33
Pm (0.5000, 0.5000, 0.0000)  6 In 3.06-3.20
Pm (0.5298, 0.9702, 0.7500)  5 In 3.14-3.33
Pm (0.9702, 0.5298, 0.2500)  5 In 3.14-3.33
In (0.1824, 0.8176, 0.5369)  5 Pm 3.20-3.33
In (0.2099, 0.2901, 0.7500)  3 Pm 3.06-3.14
In (0.2901, 0.2099, 0.2500)  3 Pm 3.06-3.14
In (0.3176, 0.6824, 0.0369)  5 Pm 3.20-3.33
In (0.6824, 0.3176, 0.9631)  5 Pm 3.20-3.33
In (0.7099, 0.7901, 0.7500)  3 Pm 3.06-3.14
In (0.7901, 0.7099, 0.2500)  3 Pm 3.06-3.14
In (0.8176, 0.1824, 0.4631)  5 Pm 3.20-3.33



Entry ii
Here is a geometry-optimized Ac2Pm3In4 structure from Alexandria. Energies are from PBE.

**DOS at the Fermi energy**: 1.074 states/eV/atom

abc: 8.7012 8.7422 8.3005
angles: 90.00 107.44 90.00
Last column: nearest neighbours and their distance in Å.
Element x y z (fractional)
Ac (0.1872, 0.1781, 0.0651)  7 In 3.45-3.83
Ac (0.1872, 0.3219, 0.5651)  7 In 3.45-3.83
Ac (0.8128, 0.6781, 0.4349)  7 In 3.45-3.83
Ac (0.8128, 0.8219, 0.9349)  7 In 3.45-3.83
Pm (0.2438, 0.6708, 0.2501)  6 In 3.19-3.34
Pm (0.2438, 0.8292, 0.7501)  6 In 3.19-3.34
Pm (0.5000, 0.0000, 0.5000)  6 In 3.29-3.49
Pm (0.5000, 0.5000, 0.0000)  6 In 3.29-3.49
Pm (0.7562, 0.1708, 0.2499)  6 In 3.19-3.34
Pm (0.7562, 0.3292, 0.7499)  6 In 3.19-3.34
In (0.0813, 0.5378, 0.8636)  1 In 3.08, 3 Pm 3.19-3.31
In (0.0813, 0.9622, 0.3636)  1 In 3.08, 3 Pm 3.19-3.31
In (0.4973, 0.1237, 0.8731)  1 In 3.01, 4 Pm 3.28-3.34
In (0.4973, 0.3763, 0.3731)  1 In 3.01, 4 Pm 3.28-3.34
In (0.5027, 0.6237, 0.6269)  1 In 3.01, 4 Pm 3.28-3.34
In (0.5027, 0.8763, 0.1269)  1 In 3.01, 4 Pm 3.28-3.34
In (0.9187, 0.0378, 0.6364)  1 In 3.08, 3 Pm 3.19-3.31
In (0.9187, 0.4622, 0.1364)  1 In 3.08, 3 Pm 3.19-3.31



We find entry ii to be the most stable, with the next structure 97 meV per atom higher.